1.
# TcBiIO2 | Alexandria | GGA-PBE | optimized geometry
# magnetization = 0.5 μB/cell
# relative energy among the computed polymorphs = 0.00 eV/f.u.
# D(E_F) = 4.4 states/eV per cell
data_TcBiIO2
_chemical_formula_sum 'Tc1 Bi1 I1 O2'
_symmetry_space_group_name_H-M 'P 4/m m m'
_symmetry_Int_Tables_number 123
_symmetry_space_group_name_Hall '-P 4 2'
_cell_length_a 4.073
_cell_length_b 4.073
_cell_length_c 6.018
_cell_angle_alpha 90.00
_cell_angle_beta 90.00
_cell_angle_gamma 90.00
loop_
_atom_site_label
_atom_site_type_symbol
_atom_site_fract_x
_atom_site_fract_y
_atom_site_fract_z
Tc1 Tc 0.000 0.000 0.000
Bi1 Bi 0.500 0.500 0.500
I1 I 0.000 0.000 0.500
O1 O 0.000 0.500 0.000

2.
# CsZnOsAu2 | Alexandria | GGA-PBE | optimized geometry
# formation enthalpy at 0 K = 0.50 eV per atom
# magnetization = 1.4 μB/cell
# D(E_F) = 3.5 states/eV per cell
data_CsZnOsAu2
_chemical_formula_sum 'Cs1 Zn1 Os1 Au2'
_symmetry_space_group_name_H-M 'P 4/m m m'
_symmetry_Int_Tables_number 123
_symmetry_space_group_name_Hall '-P 4 2'
_cell_length_a 5.220
_cell_length_b 5.220
_cell_length_c 5.031
_cell_angle_alpha 90.00
_cell_angle_beta 90.00
_cell_angle_gamma 90.00
loop_
_atom_site_label
_atom_site_type_symbol
_atom_site_fract_x
_atom_site_fract_y
_atom_site_fract_z
Cs1 Cs 0.000 0.000 0.000
Zn1 Zn 0.500 0.500 0.000
Os1 Os 0.500 0.500 0.500
Au1 Au 0.000 0.500 0.500

3.
# IrOsF3 | Alexandria | GGA-PBE | optimized geometry
# magnetization = 4.9 μB/cell
# relative energy among the computed polymorphs = 0.59 eV/f.u.
# D(E_F) = 5.3 states/eV per cell
data_IrOsF3
_chemical_formula_sum 'Ir1 Os1 F3'
_symmetry_space_group_name_H-M 'P m -3 m'
_symmetry_Int_Tables_number 221
_symmetry_space_group_name_Hall '-P 4 2 3'
_cell_length_a 4.270
_cell_length_b 4.270
_cell_length_c 4.270
_cell_angle_alpha 90.00
_cell_angle_beta 90.00
_cell_angle_gamma 90.00
loop_
_atom_site_label
_atom_site_type_symbol
_atom_site_fract_x
_atom_site_fract_y
_atom_site_fract_z
Ir1 Ir 0.000 0.000 0.000
Os1 Os 0.500 0.500 0.500
F1 F 0.000 0.000 0.500

4.
# MnV2Si | Alexandria | GGA-PBE | optimized geometry
# total DFT energy (no corrections) = -7.956 eV/atom
# magnetization = 0.1 μB/cell
# D(E_F) = 19.6 states/eV per cell
data_MnV2Si
_chemical_formula_sum 'Mn4 V8 Si4'
_symmetry_space_group_name_H-M 'I -4 2 d'
_symmetry_Int_Tables_number 122
_symmetry_space_group_name_Hall 'I -4 2bw'
_cell_length_a 6.603
_cell_length_b 6.603
_cell_length_c 4.951
_cell_angle_alpha 90.00
_cell_angle_beta 90.00
_cell_angle_gamma 90.00
loop_
_atom_site_label
_atom_site_type_symbol
_atom_site_fract_x
_atom_site_fract_y
_atom_site_fract_z
Mn1 Mn 0.000 0.000 0.000
V1 V 0.213 0.250 0.125
Si1 Si 0.000 0.000 0.500

5.
# Tm3Sc2 | Alexandria | GGA-PBE | optimized geometry
# formation enthalpy at 0 K = 0.03 eV per atom
# magnetization = 0.0 μB/cell
# relative energy among the computed polymorphs = 0.09 eV/f.u.
# D(E_F) = 39.7 states/eV per cell
data_Tm3Sc2
_chemical_formula_sum 'Tm24 Sc16'
_symmetry_space_group_name_H-M 'F d d 2'
_symmetry_Int_Tables_number 43
_symmetry_space_group_name_Hall 'F 2 -2d'
_cell_length_a 11.139
_cell_length_b 15.907
_cell_length_c 6.263
_cell_angle_alpha 90.00
_cell_angle_beta 90.00
_cell_angle_gamma 90.00
loop_
_atom_site_label
_atom_site_type_symbol
_atom_site_fract_x
_atom_site_fract_y
_atom_site_fract_z
Tm1 Tm 0.000 0.000 0.000
Tm2 Tm 0.042 0.298 0.601
Sc1 Sc 0.052 0.398 0.063

6.
# TaAl2Fe2 | Alexandria | GGA-PBE | optimized geometry
# formation enthalpy at 0 K = -0.13 eV per atom
# magnetization = 3.5 μB/cell
# relative energy among the computed polymorphs = 0.09 eV/f.u.
# D(E_F) = 11.0 states/eV per cell
data_TaAl2Fe2
_chemical_formula_sum 'Ta2 Al4 Fe4'
_symmetry_space_group_name_H-M 'P 4/m b m'
_symmetry_Int_Tables_number 127
_symmetry_space_group_name_Hall '-P 4 2ab'
_cell_length_a 7.093
_cell_length_b 7.093
_cell_length_c 2.695
_cell_angle_alpha 90.00
_cell_angle_beta 90.00
_cell_angle_gamma 90.00
loop_
_atom_site_label
_atom_site_type_symbol
_atom_site_fract_x
_atom_site_fract_y
_atom_site_fract_z
Ta1 Ta 0.000 0.000 0.000
Al1 Al 0.127 0.373 0.000
Fe1 Fe 0.170 0.670 0.500

7.
# AcEuCu | Alexandria | GGA-PBE | optimized geometry
# formation enthalpy at 0 K = 0.11 eV per atom
# magnetization = 7.1 μB/cell
# relative energy among the computed polymorphs = 0.44 eV/f.u.
# D(E_F) = 2.2 states/eV per cell
data_AcEuCu
_chemical_formula_sum 'Ac1 Eu1 Cu1'
_symmetry_space_group_name_H-M 'P 3 m 1'
_symmetry_Int_Tables_number 156
_cell_length_a 5.0309
_cell_length_b 5.0309
_cell_length_c 4.3293
_cell_angle_alpha 90.00
_cell_angle_beta 90.00
_cell_angle_gamma 120.00
loop_
_symmetry_equiv_pos_as_xyz
'x,y,z'
'-y,x-y,z'
'-x+y,-x,z'
'-y,-x,z'
'-x+y,y,z'
'x,x-y,z'
loop_
_atom_site_label
_atom_site_type_symbol
_atom_site_fract_x
_atom_site_fract_y
_atom_site_fract_z
Ac1 Ac 0.0000 0.0000 0.0000
Eu1 Eu 0.3333 0.6667 0.4800
Cu1 Cu 0.6667 0.3333 0.6771

8.
# TlRuS2 | Alexandria | GGA-PBE | optimized geometry
# magnetization = 0.0 μB/cell
# relative energy among the computed polymorphs = 0.00 eV/f.u.
# D(E_F) = 8.0 states/eV per cell
data_TlRuS2
_chemical_formula_sum 'Tl4 Ru4 S8'
_symmetry_space_group_name_H-M 'I -4 2 d'
_symmetry_Int_Tables_number 122
_symmetry_space_group_name_Hall 'I -4 2bw'
_cell_length_a 7.029
_cell_length_b 7.029
_cell_length_c 7.790
_cell_angle_alpha 90.00
_cell_angle_beta 90.00
_cell_angle_gamma 90.00
loop_
_atom_site_label
_atom_site_type_symbol
_atom_site_fract_x
_atom_site_fract_y
_atom_site_fract_z
Tl1 Tl 0.000 0.000 0.000
Ru1 Ru 0.000 0.000 0.500
S1 S 0.140 0.250 0.625

9.
# Ho2In3Cl9 | Alexandria | GGA-PBE | optimized geometry
# total DFT energy (no corrections) = -4.063 eV/atom
# magnetization = 0.0 μB/cell
# D(E_F) = 0.0 states/eV per cell
data_Ho2In3Cl9
_chemical_formula_sum 'Ho12 In18 Cl54'
_symmetry_space_group_name_H-M 'R -3 c'
_symmetry_Int_Tables_number 167
_symmetry_space_group_name_Hall '-R 3 2"c'
_cell_length_a 13.0395
_cell_length_b 13.0395
_cell_length_c 18.3445
_cell_angle_alpha 90.00
_cell_angle_beta 90.00
_cell_angle_gamma 120.00
loop_
_atom_site_label
_atom_site_type_symbol
_atom_site_fract_x
_atom_site_fract_y
_atom_site_fract_z
Ho1 Ho 0.0000 0.0000 0.1456
In1 In 0.0000 0.2929 0.2500
Cl1 Cl 0.0000 0.1515 0.7500
Cl2 Cl 0.0229 0.1889 0.4104

10.
# Ba3Na7Sr2 | Alexandria | GGA-PBE | optimized geometry
# formation enthalpy at 0 K = 0.03 eV per atom
# magnetization = 0.0 μB/cell
# D(E_F) = 40.6 states/eV per cell
data_Ba3Na7Sr2
_chemical_formula_sum 'Ba9 Na21 Sr6'
_symmetry_space_group_name_H-M 'R -3 m'
_symmetry_Int_Tables_number 166
_symmetry_space_group_name_Hall '-R 3 2"'
_cell_length_a 7.5282
_cell_length_b 7.5282
_cell_length_c 35.2777
_cell_angle_alpha 90.00
_cell_angle_beta 90.00
_cell_angle_gamma 120.00
loop_
_atom_site_label
_atom_site_type_symbol
_atom_site_fract_x
_atom_site_fract_y
_atom_site_fract_z
Ba1 Ba 0.0000 0.0000 0.0000
Ba2 Ba 0.0000 0.0000 0.1401
Na1 Na 0.0000 0.0000 0.5000
Na2 Na 0.0085 0.5043 0.9106
Sr1 Sr 0.0000 0.0000 0.3346

11.
# SiO | Alexandria | GGA-PBE | optimized geometry
# total DFT energy (no corrections) = -6.529 eV/atom
# magnetization = 0.0 μB/cell
# D(E_F) = 3.7 states/eV per cell
data_SiO
_chemical_formula_sum 'Si6 O6'
_symmetry_space_group_name_H-M 'P 63/m m c'
_symmetry_Int_Tables_number 194
_symmetry_space_group_name_Hall '-P 6c 2c'
_cell_length_a 5.7959
_cell_length_b 5.7959
_cell_length_c 5.2894
_cell_angle_alpha 90.00
_cell_angle_beta 90.00
_cell_angle_gamma 120.00
loop_
_atom_site_label
_atom_site_type_symbol
_atom_site_fract_x
_atom_site_fract_y
_atom_site_fract_z
Si1 Si 0.1550 0.3101 0.2500
O1 O 0.0335 0.5167 0.2500

12.
# Ce2TlSbO8 | Alexandria | GGA-PBE | optimized geometry
# total DFT energy (no corrections) = -7.031 eV/atom
# magnetization = 0.0 μB/cell
data_Ce2TlSbO8
_chemical_formula_sum 'Ce4 Tl2 Sb2 O16'
_symmetry_space_group_name_H-M 'C m m m'
_symmetry_Int_Tables_number 65
_symmetry_space_group_name_Hall '-C 2 2'
_cell_length_a 6.986
_cell_length_b 7.190
_cell_length_c 7.098
_cell_angle_alpha 90.00
_cell_angle_beta 90.00
_cell_angle_gamma 90.00
loop_
_atom_site_label
_atom_site_type_symbol
_atom_site_fract_x
_atom_site_fract_y
_atom_site_fract_z
Ce1 Ce 0.000 0.000 0.246
Tl1 Tl 0.000 0.500 0.500
Sb1 Sb 0.000 0.500 0.000
O1 O 0.000 0.312 0.214
O2 O 0.191 0.000 0.500
O3 O 0.208 0.000 0.000

13.
# LiYCdAg | Alexandria | GGA-PBE | optimized geometry
# formation enthalpy at 0 K = -0.23 eV per atom
# magnetization = 0.1 μB/cell
# D(E_F) = 24.3 states/eV per cell
data_LiYCdAg
_chemical_formula_sum 'Li4 Y4 Cd4 Ag4'
_symmetry_space_group_name_H-M 'F -4 3 m'
_symmetry_Int_Tables_number 216
_symmetry_space_group_name_Hall 'F -4 2 3'
_cell_length_a 6.942
_cell_length_b 6.942
_cell_length_c 6.942
_cell_angle_alpha 90.00
_cell_angle_beta 90.00
_cell_angle_gamma 90.00
loop_
_atom_site_label
_atom_site_type_symbol
_atom_site_fract_x
_atom_site_fract_y
_atom_site_fract_z
Li1 Li 0.000 0.000 0.000
Y1 Y 0.250 0.250 0.750
Cd1 Cd 0.250 0.250 0.250
Ag1 Ag 0.000 0.000 0.500

14.
# Pr7Sm4Mg | Alexandria | GGA-PBE | optimized geometry
# formation enthalpy at 0 K = 0.17 eV per atom
# magnetization = 0.0 μB/cell
# D(E_F) = 33.4 states/eV per cell
data_Pr7Sm4Mg
_chemical_formula_sum 'Pr14 Sm8 Mg2'
_symmetry_space_group_name_H-M 'C 1 2/m 1'
_symmetry_Int_Tables_number 12
_cell_length_a 11.349
_cell_length_b 5.700
_cell_length_c 13.464
_cell_angle_alpha 90.00
_cell_angle_beta 106.03
_cell_angle_gamma 90.00
loop_
_symmetry_equiv_pos_as_xyz
'x,y,z'
'-x,-y,-z'
'-x,y,-z'
'x,-y,z'
'x+1/2,y+1/2,z'
'-x+1/2,-y+1/2,-z'
'-x+1/2,y+1/2,-z'
'x+1/2,-y+1/2,z'
loop_
_atom_site_label
_atom_site_type_symbol
_atom_site_fract_x
_atom_site_fract_y
_atom_site_fract_z
Pr1 Pr 0.000 0.000 0.000
Pr2 Pr 0.140 0.000 0.473
Pr3 Pr 0.163 0.500 0.250
Pr4 Pr 0.222 0.500 0.898
Sm1 Sm 0.039 0.000 0.778
Sm2 Sm 0.091 0.500 0.630
Mg1 Mg 0.000 0.500 0.000

15.
# Zr6C2NO3 | Alexandria | GGA-PBE | optimized geometry
# total DFT energy (no corrections) = -9.597 eV/atom
# magnetization = 0.0 μB/cell
# D(E_F) = 5.7 states/eV per cell
data_Zr6C2NO3
_chemical_formula_sum 'Zr12 C4 N2 O6'
_symmetry_space_group_name_H-M 'C 1 2/m 1'
_symmetry_Int_Tables_number 12
_cell_length_a 5.700
_cell_length_b 9.863
_cell_length_c 5.770
_cell_angle_alpha 90.00
_cell_angle_beta 109.33
_cell_angle_gamma 90.00
loop_
_symmetry_equiv_pos_as_xyz
'x,y,z'
'-x,-y,-z'
'-x,y,-z'
'x,-y,z'
'x+1/2,y+1/2,z'
'-x+1/2,-y+1/2,-z'
'-x+1/2,y+1/2,-z'
'x+1/2,-y+1/2,z'
loop_
_atom_site_label
_atom_site_type_symbol
_atom_site_fract_x
_atom_site_fract_y
_atom_site_fract_z
Zr1 Zr 0.242 0.000 0.229
Zr2 Zr 0.244 0.333 0.229
C1 C 0.000 0.166 0.000
N1 N 0.000 0.500 0.000
O1 O 0.000 0.000 0.500
O2 O 0.000 0.331 0.500

16.
# PaInCu2 | Alexandria | GGA-PBE | optimized geometry
# formation enthalpy at 0 K = -0.09 eV per atom
# magnetization = 0.0 μB/cell
# D(E_F) = 10.9 states/eV per cell
data_PaInCu2
_chemical_formula_sum 'Pa4 In4 Cu8'
_symmetry_space_group_name_H-M 'F m -3 m'
_symmetry_Int_Tables_number 225
_symmetry_space_group_name_Hall '-F 4 2 3'
_cell_length_a 6.688
_cell_length_b 6.688
_cell_length_c 6.688
_cell_angle_alpha 90.00
_cell_angle_beta 90.00
_cell_angle_gamma 90.00
loop_
_atom_site_label
_atom_site_type_symbol
_atom_site_fract_x
_atom_site_fract_y
_atom_site_fract_z
Pa1 Pa 0.000 0.000 0.000
In1 In 0.000 0.000 0.500
Cu1 Cu 0.250 0.250 0.250

17.
# Gd3Ge5S12 | Alexandria | GGA-PBE | optimized geometry
# total DFT energy (no corrections) = -6.647 eV/atom
# magnetization = 167.4 μB/cell
# D(E_F) = 53.4 states/eV per cell
data_Gd3Ge5S12
_chemical_formula_sum 'Gd24 Ge40 S96'
_symmetry_space_group_name_H-M 'I a -3 d'
_symmetry_Int_Tables_number 230
_symmetry_space_group_name_Hall '-I 4bd 2c 3'
_cell_length_a 15.376
_cell_length_b 15.376
_cell_length_c 15.376
_cell_angle_alpha 90.00
_cell_angle_beta 90.00
_cell_angle_gamma 90.00
loop_
_atom_site_label
_atom_site_type_symbol
_atom_site_fract_x
_atom_site_fract_y
_atom_site_fract_z
Gd1 Gd 0.000 0.250 0.125
Ge1 Ge 0.000 0.000 0.000
Ge2 Ge 0.000 0.250 0.375
S1 S 0.027 0.061 0.656

18.
# BaSr2Sn2 | Alexandria | GGA-PBE | optimized geometry
# formation enthalpy at 0 K = -0.49 eV per atom
# magnetization = 0.0 μB/cell
# relative energy among the computed polymorphs = 0.23 eV/f.u.
# D(E_F) = 6.0 states/eV per cell
data_BaSr2Sn2
_chemical_formula_sum 'Ba2 Sr4 Sn4'
_symmetry_space_group_name_H-M 'C 1 2/m 1'
_symmetry_Int_Tables_number 12
_cell_length_a 14.293
_cell_length_b 4.525
_cell_length_c 6.645
_cell_angle_alpha 90.00
_cell_angle_beta 100.21
_cell_angle_gamma 90.00
loop_
_symmetry_equiv_pos_as_xyz
'x,y,z'
'-x,-y,-z'
'-x,y,-z'
'x,-y,z'
'x+1/2,y+1/2,z'
'-x+1/2,-y+1/2,-z'
'-x+1/2,y+1/2,-z'
'x+1/2,-y+1/2,z'
loop_
_atom_site_label
_atom_site_type_symbol
_atom_site_fract_x
_atom_site_fract_y
_atom_site_fract_z
Ba1 Ba 0.000 0.000 0.000
Sr1 Sr 0.144 0.500 0.584
Sn1 Sn 0.209 0.500 0.108

19.
# Nb2BIr | Alexandria | GGA-PBE | optimized geometry
# formation enthalpy at 0 K = 0.15 eV per atom
# magnetization = 0.0 μB/cell
# D(E_F) = 9.5 states/eV per cell
data_Nb2BIr
_chemical_formula_sum 'Nb8 B4 Ir4'
_symmetry_space_group_name_H-M 'I -4 2 d'
_symmetry_Int_Tables_number 122
_symmetry_space_group_name_Hall 'I -4 2bw'
_cell_length_a 6.727
_cell_length_b 6.727
_cell_length_c 5.356
_cell_angle_alpha 90.00
_cell_angle_beta 90.00
_cell_angle_gamma 90.00
loop_
_atom_site_label
_atom_site_type_symbol
_atom_site_fract_x
_atom_site_fract_y
_atom_site_fract_z
Nb1 Nb 0.200 0.250 0.125
B1 B 0.000 0.000 0.000
Ir1 Ir 0.000 0.000 0.500

20.
# Y4ZrOs | Alexandria | GGA-PBE | optimized geometry
# formation enthalpy at 0 K = 0.88 eV per atom
# magnetization = 0.0 μB/cell
# D(E_F) = 45.3 states/eV per cell
data_Y4ZrOs
_chemical_formula_sum 'Y16 Zr4 Os4'
_symmetry_space_group_name_H-M 'F -4 3 m'
_symmetry_Int_Tables_number 216
_symmetry_space_group_name_Hall 'F -4 2 3'
_cell_length_a 8.518
_cell_length_b 8.518
_cell_length_c 8.518
_cell_angle_alpha 90.00
_cell_angle_beta 90.00
_cell_angle_gamma 90.00
loop_
_atom_site_label
_atom_site_type_symbol
_atom_site_fract_x
_atom_site_fract_y
_atom_site_fract_z
Y1 Y 0.124 0.124 0.376
Zr1 Zr 0.000 0.000 0.000
Os1 Os 0.250 0.250 0.750